(1)
Material: KLiBe3
Method: DFT, PBE
State: relaxed

```
data_KLiBe3
_cell_length_a 4.501
_cell_length_b 4.501
_cell_length_c 4.501
_cell_angle_alpha 90.00
_cell_angle_beta 90.00
_cell_angle_gamma 90.00
_symmetry_space_group_name_H-M 'P m -3 m'
_symmetry_Int_Tables_number 221
_symmetry_space_group_name_Hall '-P 4 2 3'
loop_
_atom_site_label
_atom_site_type_symbol
_atom_site_fract_x
_atom_site_fract_y
_atom_site_fract_z
K1 K 0.000 0.000 0.000
Li1 Li 0.500 0.500 0.500
Be1 Be 0.000 0.500 0.500
```

## Properties
Formation energy from the elements in meV per atom: 1141
Energy relative to the lowest polymorph listed for this composition in eV per atom: 0.0000
Density of states at the Fermi level in states/eV per atom: 0.4819
Magnetization in μB per formula unit: 0.0
Raw total energy in eV/atom: -1.70

=====

(2)
Material: CrSe4Cl
Method: DFT, PBE
State: relaxed

```
data_CrSe4Cl
_cell_length_a 8.022
_cell_length_b 8.022
_cell_length_c 8.022
_cell_angle_alpha 90.00
_cell_angle_beta 90.00
_cell_angle_gamma 90.00
_symmetry_space_group_name_H-M 'F -4 3 m'
_symmetry_Int_Tables_number 216
_symmetry_space_group_name_Hall 'F -4 2 3'
loop_
_atom_site_label
_atom_site_type_symbol
_atom_site_fract_x
_atom_site_fract_y
_atom_site_fract_z
Cr1 Cr 0.000 0.000 0.000
Se1 Se 0.125 0.125 0.625
Cl1 Cl 0.250 0.250 0.250
```

## Properties
Energy relative to the elements, uncorrected in eV/f.u.: 2.9
Density of states at the Fermi level in states/eV per atom: 0.6118
Magnetization in μB per formula unit: 3.4
Raw total energy in eV/atom: -3.75

=====

(3)
Material: NdTa2FeN4
Method: DFT, PBE
State: relaxed

```
data_NdTa2FeN4
_cell_length_a 3.132
_cell_length_b 10.903
_cell_length_c 10.869
_cell_angle_alpha 90.00
_cell_angle_beta 90.00
_cell_angle_gamma 90.00
_symmetry_space_group_name_H-M 'C m c m'
_symmetry_Int_Tables_number 63
_symmetry_space_group_name_Hall '-C 2c 2'
loop_
_atom_site_label
_atom_site_type_symbol
_atom_site_fract_x
_atom_site_fract_y
_atom_site_fract_z
Nd1 Nd 0.000 0.107 0.250
Ta1 Ta 0.000 0.369 0.058
Fe1 Fe 0.000 0.158 0.750
N1 N 0.000 0.000 0.000
N2 N 0.000 0.270 0.609
N3 N 0.000 0.442 0.250
```

## Properties
Energy relative to the elements, uncorrected in eV/f.u.: -7.9
Density of states at the Fermi level in states/eV per atom: 0.3006
Magnetization in μB per formula unit: 0.0
Raw total energy in eV/atom: -9.76

=====

(4)
Material: MgSbMo
Method: DFT, PBE
State: relaxed

```
data_MgSbMo
_cell_length_a 3.721
_cell_length_b 4.885
_cell_length_c 13.898
_cell_angle_alpha 90.00
_cell_angle_beta 90.00
_cell_angle_gamma 90.00
_symmetry_space_group_name_H-M 'F m m 2'
_symmetry_Int_Tables_number 42
_symmetry_space_group_name_Hall 'F 2 -2'
loop_
_atom_site_label
_atom_site_type_symbol
_atom_site_fract_x
_atom_site_fract_y
_atom_site_fract_z
Mg1 Mg 0.000 0.000 0.000
Sb1 Sb 0.000 0.000 0.294
Mo1 Mo 0.000 0.000 0.650
```

## Properties
Energy relative to the lowest polymorph listed for this composition in eV per atom: 0.2734
Energy relative to the elements, uncorrected in eV/f.u.: 1.1
Density of states at the Fermi level in states/eV per atom: 1.0383
Magnetization in μB per formula unit: 0.0
Raw total energy in eV/atom: -5.16

=====

(5)
Material: TiTe3Br
Method: DFT, PBE
State: relaxed

```
data_TiTe3Br
_cell_length_a 5.480
_cell_length_b 5.480
_cell_length_c 5.480
_cell_angle_alpha 90.00
_cell_angle_beta 90.00
_cell_angle_gamma 90.00
_symmetry_space_group_name_H-M 'P m -3 m'
_symmetry_Int_Tables_number 221
_symmetry_space_group_name_Hall '-P 4 2 3'
loop_
_atom_site_label
_atom_site_type_symbol
_atom_site_fract_x
_atom_site_fract_y
_atom_site_fract_z
Ti1 Ti 0.000 0.000 0.000
Te1 Te 0.000 0.500 0.500
Br1 Br 0.500 0.500 0.500
```

## Properties
Energy relative to the lowest polymorph listed for this composition in eV per atom: 1.1141
Energy relative to the elements, uncorrected in eV/f.u.: 5.0
Density of states at the Fermi level in states/eV per atom: 2.2618
Magnetization in μB per formula unit: 0.2
Raw total energy in eV/atom: -2.79

=====

(6)
Material: Ba2Zn5Ga
Method: DFT, PBE
State: relaxed

```
data_Ba2Zn5Ga
_cell_length_a 4.903
_cell_length_b 17.136
_cell_length_c 9.382
_cell_angle_alpha 90.00
_cell_angle_beta 90.00
_cell_angle_gamma 90.00
_symmetry_space_group_name_H-M 'C m c m'
_symmetry_Int_Tables_number 63
_symmetry_space_group_name_Hall '-C 2c 2'
loop_
_atom_site_label
_atom_site_type_symbol
_atom_site_fract_x
_atom_site_fract_y
_atom_site_fract_z
Ba1 Ba 0.000 0.000 0.000
Ba2 Ba 0.000 0.207 0.250
Zn1 Zn 0.000 0.185 0.609
Zn2 Zn 0.000 0.349 0.514
Zn3 Zn 0.000 0.410 0.250
Ga1 Ga 0.000 0.437 0.750
```

## Properties
Formation energy from the elements in meV per atom: -200
Density of states at the Fermi level in states/eV per atom: 0.7778
Magnetization in μB per formula unit: 0.0
Raw total energy in eV/atom: -1.86

=====

(7)
Material: KFe2Te
Method: DFT, PBE
State: relaxed

```
data_KFe2Te
_cell_length_a 3.646
_cell_length_b 3.646
_cell_length_c 7.408
_cell_angle_alpha 90.00
_cell_angle_beta 90.00
_cell_angle_gamma 90.00
_symmetry_space_group_name_H-M 'P 4/m m m'
_symmetry_Int_Tables_number 123
_symmetry_space_group_name_Hall '-P 4 2'
loop_
_atom_site_label
_atom_site_type_symbol
_atom_site_fract_x
_atom_site_fract_y
_atom_site_fract_z
K1 K 0.000 0.000 0.000
Fe1 Fe 0.500 0.500 0.349
Te1 Te 0.000 0.000 0.500
```

## Properties
Energy relative to the elements, uncorrected in eV/f.u.: 2.6
Density of states at the Fermi level in states/eV per atom: 0.8885
Magnetization in μB per formula unit: 5.9
Raw total energy in eV/atom: -4.65

=====

(8)
Material: Ag3IrF7
Method: DFT, PBE
State: relaxed

```
data_Ag3IrF7
_cell_length_a 8.493
_cell_length_b 7.665
_cell_length_c 6.099
_cell_angle_alpha 90.00
_cell_angle_beta 120.46
_cell_angle_gamma 90.00
_symmetry_space_group_name_H-M 'C 1 m 1'
_symmetry_Int_Tables_number 8
loop_
_symmetry_equiv_pos_as_xyz
'x,y,z'
'x,-y,z'
'x+1/2,y+1/2,z'
'x+1/2,-y+1/2,z'
loop_
_atom_site_label
_atom_site_type_symbol
_atom_site_fract_x
_atom_site_fract_y
_atom_site_fract_z
Ag1 Ag 0.000 0.000 0.000
Ag2 Ag 0.474 0.271 0.574
Ir1 Ir 0.477 0.000 0.052
F1 F 0.095 0.500 0.842
F2 F 0.129 0.313 0.280
F3 F 0.324 0.190 0.822
F4 F 0.344 0.000 0.243
F5 F 0.467 0.500 0.347
```

## Properties
Energy relative to the elements, uncorrected in eV/f.u.: -13.4
Density of states at the Fermi level in states/eV per atom: 0.8337
Magnetization in μB per formula unit: 1.1
Raw total energy in eV/atom: -3.99

=====

(9)
Material: TaTi7Sn3
Method: DFT, PBE
State: relaxed

```
data_TaTi7Sn3
_cell_length_a 4.959
_cell_length_b 8.888
_cell_length_c 9.804
_cell_angle_alpha 90.00
_cell_angle_beta 90.00
_cell_angle_gamma 90.00
_symmetry_space_group_name_H-M 'I m m m'
_symmetry_Int_Tables_number 71
_symmetry_space_group_name_Hall '-I 2 2'
loop_
_atom_site_label
_atom_site_type_symbol
_atom_site_fract_x
_atom_site_fract_y
_atom_site_fract_z
Ta1 Ta 0.000 0.000 0.000
Ti1 Ti 0.000 0.181 0.265
Ti2 Ti 0.000 0.306 0.000
Ti3 Ti 0.000 0.500 0.500
Sn1 Sn 0.000 0.000 0.500
Sn2 Sn 0.000 0.500 0.227
```

## Properties
Formation energy from the elements in meV per atom: 120
Density of states at the Fermi level in states/eV per atom: 1.4427
Magnetization in μB per formula unit: 0.0
Raw total energy in eV/atom: -7.07

=====

(10)
Material: SrP3Pt
Method: DFT, PBE
State: relaxed

```
data_SrP3Pt
_cell_length_a 5.309
_cell_length_b 5.309
_cell_length_c 5.309
_cell_angle_alpha 90.00
_cell_angle_beta 90.00
_cell_angle_gamma 90.00
_symmetry_space_group_name_H-M 'P m -3 m'
_symmetry_Int_Tables_number 221
_symmetry_space_group_name_Hall '-P 4 2 3'
loop_
_atom_site_label
_atom_site_type_symbol
_atom_site_fract_x
_atom_site_fract_y
_atom_site_fract_z
Sr1 Sr 0.000 0.000 0.000
P1 P 0.000 0.000 0.500
Pt1 Pt 0.500 0.500 0.500
```

## Properties
Formation energy from the elements in meV per atom: 1901
Energy relative to the lowest polymorph listed for this composition in eV per atom: 2.5470
Density of states at the Fermi level in states/eV per atom: 0.9860
Magnetization in μB per formula unit: 1.1
Raw total energy in eV/atom: -2.89

=====

(11)
Material: Tm4SnAuC
Method: DFT, PBE
State: relaxed

```
data_Tm4SnAuC
_cell_length_a 6.755
_cell_length_b 14.780
_cell_length_c 6.744
_cell_angle_alpha 90.00
_cell_angle_beta 90.00
_cell_angle_gamma 90.00
_symmetry_space_group_name_H-M 'C m c m'
_symmetry_Int_Tables_number 63
_symmetry_space_group_name_Hall '-C 2c 2'
loop_
_atom_site_label
_atom_site_type_symbol
_atom_site_fract_x
_atom_site_fract_y
_atom_site_fract_z
Tm1 Tm 0.000 0.078 0.250
Tm2 Tm 0.000 0.411 0.250
Tm3 Tm 0.250 0.250 0.000
Sn1 Sn 0.000 0.385 0.750
Au1 Au 0.000 0.118 0.750
C1 C 0.000 0.248 0.250
```

## Properties
Formation energy from the elements in meV per atom: -589
Density of states at the Fermi level in states/eV per atom: 0.6948
Magnetization in μB per formula unit: 0.0
Raw total energy in eV/atom: -5.50

=====

(12)
Material: Zn3Fe
Method: DFT, PBE
State: relaxed

```
data_Zn3Fe
_cell_length_a 8.4828
_cell_length_b 8.4828
_cell_length_c 2.5990
_cell_angle_alpha 90.00
_cell_angle_beta 90.00
_cell_angle_gamma 120.00
_symmetry_space_group_name_H-M 'R -3 m'
_symmetry_Int_Tables_number 166
_symmetry_space_group_name_Hall '-R 3 2"'
loop_
_atom_site_label
_atom_site_type_symbol
_atom_site_fract_x
_atom_site_fract_y
_atom_site_fract_z
Zn1 Zn 0.0000 0.5000 0.0000
Fe1 Fe 0.0000 0.0000 0.0000
```

## Properties
Formation energy from the elements in meV per atom: 35
Density of states at the Fermi level in states/eV per atom: 0.4981
Magnetization in μB per formula unit: 2.1
Raw total energy in eV/atom: -3.04